Li2In2Pb: optimized geometry, GGA-PBE.

Uncorrected energy (eV/atom): -2.767
Polymorph energy (0 for the lowest one) (eV/f.u.): 0.05
Formation energy from the elements (eV/atom): -0.16
Crystal system: trigonal

CIF file:
```
data_Li2In2Pb
_cell_length_a 4.762
_cell_length_b 4.762
_cell_length_c 5.832
_cell_angle_alpha 90.00
_cell_angle_beta 90.00
_cell_angle_gamma 120.00
_symmetry_space_group_name_H-M 'P 1'
_symmetry_Int_Tables_number 1
_symmetry_space_group_name_Hall 'P 1'
loop_
_atom_site_label
_atom_site_fract_x
_atom_site_fract_y
_atom_site_fract_z
_atom_site_occupancy
Li1 0.333 0.667 0.145 1
Li2 0.667 0.333 0.855 1
In1 0.333 0.667 0.640 1
In2 0.667 0.333 0.360 1
Pb1 0.000 0.000 0.000 1
```